# 1
Computed, not measured: a geometry-optimized ZrBe2P structure at the PBE level of DFT.

abc: 6.0656 6.0656 6.0656
angles: 90.00 90.00 90.00
Space group F-43m (No. 216)
Asymmetric unit:
Zr 0.0000 0.0000 0.0000 [4 per cell]
Be 0.0000 0.0000 0.5000 [4 per cell]
Be 0.2500 0.2500 0.2500 [4 per cell]
P 0.2500 0.2500 0.7500 [4 per cell]

Calculated values
DOS(E_F)	1.057	states/eV/atom
energy relative to the elements	206	meV/atom
crystal system	cubic

# 2
Computed, not measured: a geometry-optimized Sr2Os structure at the PBE level of DFT.

abc: 5.0762 5.0762 3.6922
angles: 90.00 90.00 120.00
Space group P-3m1 (No. 164)
Asymmetric unit:
Sr 0.3333 0.6667 0.2188 [2 per cell]
Os 0.0000 0.0000 0.5000 [1 per cell]

Calculated values
DOS(E_F)	1.254	states/eV/atom
energy relative to the elements	855	meV/atom
crystal system	trigonal

# 3
Computed, not measured: a geometry-optimized SrMn2SbSe structure at the PBE level of DFT.

abc: 5.0032 5.0032 6.5741
angles: 90.00 90.00 90.00
Space group P4/mmm (No. 123)
Asymmetric unit:
Sr 0.0000 0.0000 0.0000 [1 per cell]
Mn 0.0000 0.5000 0.5000 [2 per cell]
Sb 0.0000 0.0000 0.5000 [1 per cell]
Se 0.5000 0.5000 0.0000 [1 per cell]

Calculated values
DOS(E_F)	0.717	states/eV/atom
crystal system	tetragonal
formation energy without anion corrections	0.138	eV per atom